PmIrPt: relaxed, PBE.

abc: 3.9328 4.3720 4.3720
angles: 120.00 90.00 90.00
Last column: nearest neighbours and their distance in Å.
Sites, in units of the cell vectors:
Ir  0.1667  0.6667  0.3333  3 Pt 2.52
Pt  0.1667  0.0000  0.0000  3 Ir 2.52
Pm  0.6667  0.3333  0.6667  6 Ir 3.20, 6 Pt 3.20

Values from the calculation:
* calculated formation energy: -2.3 eV/f.u.
* space group: P-6m2 (187)
* offset from the most stable computed form: 113.7 meV per atom
* N(E_F): 1.4 states/eV/cell